## SnSb4Pb5 (PBE-GGA)

Data for a geometry-optimized SnSb4Pb5 structure.

```
data_SnSb4Pb5
_chemical_formula_sum 'Sn2 Sb8 Pb10'
_space_group_name_H-M_alt 'C 1 2/m 1'
_space_group_IT_number 12
_space_group_name_Hall '-C 2y'
_cell_length_a 16.8675
_cell_length_b 5.3823
_cell_length_c 7.4632
_cell_angle_alpha 90.00
_cell_angle_beta 96.78
_cell_angle_gamma 90.00
loop_
_atom_site_label
_atom_site_type_symbol
_atom_site_fract_x
_atom_site_fract_y
_atom_site_fract_z
Sn1 Sn 0.0000 0.0000 0.0000
Sb1 Sb 0.0339 0.5000 0.7740
Sb2 Sb 0.1656 0.0000 0.2640
Pb1 Pb 0.0000 0.0000 0.5000
Pb2 Pb 0.1614 0.5000 0.5016
Pb3 Pb 0.1902 0.5000 0.0244
```

Calculated values
Uncorrected energy = -76.82 eV for the cell shown
Distance to the lowest polymorph of the same formula = 0.25 eV per formula unit
Fermi-level density of states = 0.494 states/eV per atom

---

## HfHg (PBE-GGA)

Data for a geometry-optimized HfHg structure.

```
data_HfHg
_chemical_formula_sum 'Hf8 Hg8'
_space_group_name_H-M_alt 'I -4 3 m'
_space_group_IT_number 217
_space_group_name_Hall 'I -4 2 3'
_cell_length_a 8.9207
_cell_length_b 8.9207
_cell_length_c 8.9207
_cell_angle_alpha 90.00
_cell_angle_beta 90.00
_cell_angle_gamma 90.00
loop_
_atom_site_label
_atom_site_type_symbol
_atom_site_fract_x
_atom_site_fract_y
_atom_site_fract_z
Hf1 Hf 0.1162 0.1162 0.1162
Hg1 Hg 0.1967 0.1967 0.8033
```

Calculated values
Uncorrected energy = -67.20 eV for the cell shown
Fermi-level density of states = 2.029 states/eV per atom

---

## Cs3Ce2PbS6 (PBE-GGA)

Data for a geometry-optimized Cs3Ce2PbS6 structure.

```
data_Cs3Ce2PbS6
_chemical_formula_sum 'Cs6 Ce4 Pb2 S12'
_space_group_name_H-M_alt 'C 1 2/m 1'
_space_group_IT_number 12
_space_group_name_Hall '-C 2y'
_cell_length_a 7.4274
_cell_length_b 12.8530
_cell_length_c 8.3826
_cell_angle_alpha 90.00
_cell_angle_beta 107.12
_cell_angle_gamma 90.00
loop_
_atom_site_label
_atom_site_type_symbol
_atom_site_fract_x
_atom_site_fract_y
_atom_site_fract_z
Cs1 Cs 0.0000 0.0000 0.0000
Cs2 Cs 0.0000 0.3403 0.0000
Ce1 Ce 0.0000 0.1672 0.5000
Pb1 Pb 0.0000 0.5000 0.5000
S1 S 0.2066 0.0000 0.6838
S2 S 0.2399 0.3224 0.6869
```

Calculated values
Uncorrected energy = -121.70 eV for the cell shown
Fermi-level density of states = 0.530 states/eV per atom

---

## LiGd2Rh (PBE-GGA)

Data for a geometry-optimized LiGd2Rh structure.

```
data_LiGd2Rh
_chemical_formula_sum 'Li3 Gd6 Rh3'
_space_group_name_H-M_alt 'R -3 m'
_space_group_IT_number 166
_space_group_name_Hall '-R 3 2"'
_cell_length_a 3.8986
_cell_length_b 3.8986
_cell_length_c 29.7843
_cell_angle_alpha 90.00
_cell_angle_beta 90.00
_cell_angle_gamma 120.00
loop_
_atom_site_label
_atom_site_type_symbol
_atom_site_fract_x
_atom_site_fract_y
_atom_site_fract_z
Li1 Li 0.0000 0.0000 0.0000
Gd1 Gd 0.0000 0.0000 0.1140
Rh1 Rh 0.0000 0.0000 0.5000
```

Calculated values
Uncorrected energy = -114.86 eV for the cell shown
Fermi-level density of states = 0.945 states/eV per atom

---

## Ba7HgAu4 (PBE-GGA)

Data for a geometry-optimized Ba7HgAu4 structure.

```
data_Ba7HgAu4
_chemical_formula_sum 'Ba14 Hg2 Au8'
_space_group_name_H-M_alt 'C 1 m 1'
_space_group_IT_number 8
_space_group_name_Hall 'C -2y'
_cell_length_a 15.9409
_cell_length_b 4.6197
_cell_length_c 14.4229
_cell_angle_alpha 90.00
_cell_angle_beta 104.20
_cell_angle_gamma 90.00
loop_
_atom_site_label
_atom_site_type_symbol
_atom_site_fract_x
_atom_site_fract_y
_atom_site_fract_z
Ba1 Ba 0.0000 0.0000 0.0000
Ba2 Ba 0.0057 0.5000 0.2942
Ba3 Ba 0.1094 0.5000 0.6003
Ba4 Ba 0.2220 0.0000 0.8622
Ba5 Ba 0.2633 0.5000 0.1391
Ba6 Ba 0.3040 0.0000 0.4391
Ba7 Ba 0.4172 0.5000 0.6982
Hg1 Hg 0.1434 0.0000 0.2304
Au1 Au 0.0612 0.5000 0.8319
Au2 Au 0.2632 0.0000 0.6503
Au3 Au 0.3786 0.0000 0.0680
Au4 Au 0.4639 0.5000 0.4680
```

Calculated values
Uncorrected energy = -67.22 eV for the cell shown
Fermi-level density of states = 0.710 states/eV per atom

---

## Ca3Tl2H (PBE-GGA)

Data for a geometry-optimized Ca3Tl2H structure.

```
data_Ca3Tl2H
_chemical_formula_sum 'Ca12 Tl8 H4'
_space_group_name_H-M_alt 'C 1 2/c 1'
_space_group_IT_number 15
_space_group_name_Hall '-C 2yc'
_cell_length_a 12.1093
_cell_length_b 6.8472
_cell_length_c 8.1519
_cell_angle_alpha 90.00
_cell_angle_beta 108.99
_cell_angle_gamma 90.00
loop_
_atom_site_label
_atom_site_type_symbol
_atom_site_fract_x
_atom_site_fract_y
_atom_site_fract_z
Ca1 Ca 0.0000 0.1010 0.2500
Ca2 Ca 0.1210 0.4023 0.9559
Tl1 Tl 0.1916 0.1811 0.6501
H1 H 0.0000 0.4207 0.2500
```

Calculated values
Uncorrected energy = -64.61 eV for the cell shown
Fermi-level density of states = 0.455 states/eV per atom